[1]
A plane-wave DFT calculation with PBE was carried out for a geometry-optimized Ac4Si4Sn structure.

Cell: 6.4905 9.1074 9.1074 Å, 90.00 90.00 90.00°
Positions (direct):
Ac  0.3532  0.2924  0.9272
Ac  0.8532  0.5728  0.7924
Ac  0.3532  0.7076  0.0728
Ac  0.1468  0.2076  0.5728
Ac  0.6468  0.9272  0.7076
Ac  0.1468  0.7924  0.4272
Ac  0.8532  0.4272  0.2076
Ac  0.6468  0.0728  0.2924
Si  0.6611  0.7451  0.3682
Si  0.6611  0.2549  0.6318
Si  0.1611  0.8682  0.7549
Si  0.8389  0.2451  0.8682
Si  0.8389  0.7549  0.1318
Si  0.3389  0.3682  0.2549
Si  0.3389  0.6318  0.7451
Si  0.1611  0.1318  0.2451
Sn  0.0000  0.0000  0.0000
Sn  0.5000  0.5000  0.5000

Output
formation energy from raw total energies: -343 meV/atom
symmetry: P4_2/n, No. 86

[2]
A plane-wave DFT calculation with PBE was carried out for a geometry-optimized Ac6SiSn5 structure.

Cell: 8.4359 8.7982 7.5329 Å, 54.27 82.77 77.55°
Positions (direct):
Ac  0.7793  0.0544  0.3320
Ac  0.2207  0.6136  0.3320
Ac  0.2819  0.2075  0.0000
Ac  0.7181  0.7925  0.0000
Ac  0.7793  0.3864  0.6680
Ac  0.2207  0.9456  0.6680
Si  0.0000  0.0000  0.0000
Sn  0.5000  0.2152  0.5696
Sn  0.0000  0.3776  0.2449
Sn  0.5000  0.5000  0.0000
Sn  0.0000  0.6224  0.7551
Sn  0.5000  0.7848  0.4304

Output
formation energy from raw total energies: -535 meV/atom
symmetry: C2/m, No. 12

Question: Which value of formation energy from raw total energies does entry 2 give?
Answer: -535 meV/atom

Question: Which of these has the highest formation energy from raw total energies?
Answer: Ac4Si4Sn

What did the second record say?
A plane-wave DFT calculation with PBE was carried out for a geometry-optimized Ac6SiSn5 structure.

Cell: 8.4359 8.7982 7.5329 Å, 54.27 82.77 77.55°
Positions (direct):
Ac  0.7793  0.0544  0.3320
Ac  0.2207  0.6136  0.3320
Ac  0.2819  0.2075  0.0000
Ac  0.7181  0.7925  0.0000
Ac  0.7793  0.3864  0.6680
Ac  0.2207  0.9456  0.6680
Si  0.0000  0.0000  0.0000
Sn  0.5000  0.2152  0.5696
Sn  0.0000  0.3776  0.2449
Sn  0.5000  0.5000  0.0000
Sn  0.0000  0.6224  0.7551
Sn  0.5000  0.7848  0.4304

Output
formation energy from raw total energies: -535 meV/atom
symmetry: C2/m, No. 12